[1]
{"formula": "NaSc2TaSi", "functional": "GGA-PBE", "state": "relaxed", "lattice": [[4.7710, 0.0000, 0.0000], [0.0000, 4.7710, 0.0000], [0.0000, 0.0000, 4.8541]], "species": ["Na", "Sc", "Sc", "Ta", "Si"], "frac_coords": [[0.0000, 0.0000, 0.0000], [0.0000, 0.5000, 0.0000], [0.5000, 0.0000, 0.0000], [0.0000, 0.0000, 0.5000], [0.5000, 0.5000, 0.5000]], "spacegroup": "No. 123", "volume_a3_per_fu": 110, "e_tot_ev_per_fu": -23.75, "e_form_raw_mev_per_atom": 1502}

[2]
{"formula": "NaSc2TiSi", "functional": "GGA-PBE", "state": "relaxed", "lattice": [[4.8870, 0.0000, 0.0000], [0.0000, 4.8870, 0.0000], [0.0000, 0.0000, 4.7275]], "species": ["Na", "Sc", "Sc", "Ti", "Si"], "frac_coords": [[0.0000, 0.0000, 0.0000], [0.0000, 0.5000, 0.0000], [0.5000, 0.0000, 0.0000], [0.0000, 0.0000, 0.5000], [0.5000, 0.5000, 0.5000]], "spacegroup": "No. 123", "volume_a3_per_fu": 113, "e_tot_ev_per_fu": -21.10, "e_form_raw_mev_per_atom": 1240}

[3]
{"formula": "NaScZnSi2", "functional": "GGA-PBE", "state": "relaxed", "lattice": [[5.0446, 0.0000, 0.0000], [0.0000, 5.0446, 0.0000], [0.0000, 0.0000, 5.8481]], "species": ["Na", "Sc", "Zn", "Si", "Si"], "frac_coords": [[0.0000, 0.0000, 0.0000], [0.0000, 0.0000, 0.5000], [0.5000, 0.5000, 0.0000], [0.0000, 0.5000, 0.5000], [0.5000, 0.0000, 0.5000]], "spacegroup": "No. 123", "volume_a3_per_fu": 149, "e_tot_ev_per_fu": -15.59, "e_form_raw_mev_per_atom": 835}

[4]
{"formula": "NaSc2ZnSi", "functional": "GGA-PBE", "state": "relaxed", "lattice": [[5.0541, 0.0000, 0.0000], [0.0000, 5.0541, 0.0000], [0.0000, 0.0000, 4.7930]], "species": ["Na", "Sc", "Sc", "Zn", "Si"], "frac_coords": [[0.0000, 0.0000, 0.0000], [0.0000, 0.5000, 0.5000], [0.5000, 0.0000, 0.5000], [0.0000, 0.0000, 0.5000], [0.5000, 0.5000, 0.0000]], "spacegroup": "No. 123", "volume_a3_per_fu": 122, "e_tot_ev_per_fu": -18.30, "e_form_raw_mev_per_atom": 476}

[5]
{"formula": "Na2ZrScSi", "functional": "GGA-PBE", "state": "relaxed", "lattice": [[5.2005, 0.0000, 0.0000], [0.0000, 5.2005, 0.0000], [0.0000, 0.0000, 5.1036]], "species": ["Na", "Na", "Zr", "Sc", "Si"], "frac_coords": [[0.0000, 0.5000, 0.0000], [0.5000, 0.0000, 0.0000], [0.0000, 0.0000, 0.5000], [0.0000, 0.0000, 0.0000], [0.5000, 0.5000, 0.5000]], "spacegroup": "No. 123", "volume_a3_per_fu": 138, "e_tot_ev_per_fu": -16.33, "e_form_raw_mev_per_atom": 1322}

[6]
{"formula": "NaSmSc", "functional": "GGA-PBE", "state": "relaxed", "lattice": [[3.4555, 0.0000, 0.0000], [-1.7278, 2.9926, 0.0000], [0.0000, 0.0000, 8.9371]], "species": ["Na", "Sm", "Sc"], "frac_coords": [[0.0000, 0.0000, 0.0000], [0.3333, 0.6667, 0.6348], [0.6667, 0.3333, 0.3406]], "spacegroup": "No. 156", "delta_e_f_mev_per_atom": 179, "volume_a3_per_fu": 92, "e_tot_ev_per_fu": -11.83}

[7]
{"formula": "NaSmSc", "functional": "GGA-PBE", "state": "relaxed", "lattice": [[5.4352, 0.0000, 0.0000], [-2.7176, 4.7070, 0.0000], [0.0000, 0.0000, 7.0238]], "species": ["Na", "Na", "Sm", "Sm", "Sc", "Sc"], "frac_coords": [[0.3333, 0.6667, 0.0000], [0.6667, 0.3333, 0.0000], [0.0000, 0.0000, 0.2704], [0.0000, 0.0000, 0.7296], [0.3333, 0.6667, 0.5000], [0.6667, 0.3333, 0.5000]], "spacegroup": "No. 191", "delta_e_f_mev_per_atom": 216, "volume_a3_per_fu": 90, "e_tot_ev_per_fu": -11.72}

[8]
{"formula": "NaSmSc", "functional": "GGA-PBE", "state": "relaxed", "lattice": [[0.0000, 5.6672, 5.6859], [3.0263, 0.0000, 5.6859], [3.0263, 5.6672, 0.0000]], "species": ["Na", "Na", "Sm", "Sm", "Sc", "Sc"], "frac_coords": [[0.1459, 0.1459, 0.8541], [0.8541, 0.8541, 0.1459], [0.3263, 0.6737, 0.3263], [0.6737, 0.3263, 0.6737], [0.2500, 0.2500, 0.2500], [0.7500, 0.7500, 0.7500]], "spacegroup": "No. 69", "delta_e_f_mev_per_atom": 434, "volume_a3_per_fu": 98, "e_tot_ev_per_fu": -11.07}

[9]
{"formula": "Na3Sm2ScTe6", "functional": "GGA-PBE", "state": "relaxed", "lattice": [[3.8260, -6.6317, 0.0000], [3.8260, 6.6317, 0.0000], [-2.5608, 0.0000, 7.5550]], "species": ["Na", "Na", "Na", "Sm", "Sm", "Sc", "Te", "Te", "Te", "Te", "Te", "Te"], "frac_coords": [[0.0000, 0.0000, 0.0000], [0.3283, 0.6717, 0.0000], [0.6717, 0.3283, 0.0000], [0.1659, 0.8341, 0.5000], [0.8341, 0.1659, 0.5000], [0.5000, 0.5000, 0.5000], [0.1054, 0.4233, 0.2692], [0.2605, 0.2605, 0.7310], [0.4233, 0.1054, 0.2692], [0.5767, 0.8946, 0.7308], [0.7395, 0.7395, 0.2690], [0.8946, 0.5767, 0.7308]], "spacegroup": "No. 12", "volume_a3_per_fu": 383, "e_tot_ev_per_fu": -53.85, "e_form_raw_mev_per_atom": -1273}

[10]
{"formula": "NaSm3Sc2Te6", "functional": "GGA-PBE", "state": "relaxed", "lattice": [[9.4988, -2.1700, 0.0000], [9.4988, 2.1700, 0.0000], [-2.0043, 0.0000, 8.5097]], "species": ["Na", "Sm", "Sm", "Sm", "Sc", "Sc", "Te", "Te", "Te", "Te", "Te", "Te"], "frac_coords": [[0.0000, 0.0000, 0.0000], [0.0000, 0.0000, 0.5000], [0.3404, 0.3404, 0.1762], [0.6596, 0.6596, 0.8238], [0.3345, 0.3345, 0.6565], [0.6655, 0.6655, 0.3435], [0.1695, 0.1695, 0.0989], [0.1717, 0.1717, 0.5739], [0.4918, 0.4918, 0.7516], [0.5082, 0.5082, 0.2484], [0.8283, 0.8283, 0.4261], [0.8305, 0.8305, 0.9011]], "spacegroup": "No. 12", "volume_a3_per_fu": 351, "e_tot_ev_per_fu": -62.15, "e_form_raw_mev_per_atom": -1263}

[11]
{"formula": "Na2SmScTe4", "functional": "GGA-PBE", "state": "relaxed", "lattice": [[7.5841, 0.0000, 0.0000], [0.0000, 4.3742, 0.0000], [-2.5278, 0.0000, 7.5576]], "species": ["Na", "Na", "Sm", "Sc", "Te", "Te", "Te", "Te"], "frac_coords": [[0.0000, 0.0000, 0.0000], [0.5000, 0.5000, 0.0000], [0.0000, 0.5000, 0.5000], [0.5000, 0.0000, 0.5000], [0.2587, 0.0000, 0.7322], [0.2728, 0.5000, 0.2763], [0.7272, 0.5000, 0.7237], [0.7413, 0.0000, 0.2678]], "spacegroup": "No. 10", "volume_a3_per_fu": 251, "e_tot_ev_per_fu": -36.21, "e_form_raw_mev_per_atom": -1244}

[12]
{"formula": "NaSm2ScTe4", "functional": "GGA-PBE", "state": "relaxed", "lattice": [[7.5658, 0.0000, 0.0000], [0.0000, 4.3564, 0.0000], [-2.4870, 0.0000, 7.2191]], "species": ["Na", "Sm", "Sm", "Sc", "Te", "Te", "Te", "Te"], "frac_coords": [[0.0000, 0.0000, 0.0000], [0.5000, 0.0000, 0.5000], [0.5000, 0.5000, 0.0000], [0.0000, 0.5000, 0.5000], [0.2336, 0.0000, 0.7390], [0.2403, 0.5000, 0.2541], [0.7597, 0.5000, 0.7459], [0.7664, 0.0000, 0.2610]], "spacegroup": "No. 10", "volume_a3_per_fu": 238, "e_tot_ev_per_fu": -39.84, "e_form_raw_mev_per_atom": -1273}

[13]
{"formula": "Na3SmSc2Te6", "functional": "GGA-PBE", "state": "relaxed", "lattice": [[3.7502, -6.4997, 0.0000], [3.7502, 6.4997, 0.0000], [-2.5139, 0.0000, 7.5394]], "species": ["Na", "Na", "Na", "Sm", "Sc", "Sc", "Te", "Te", "Te", "Te", "Te", "Te"], "frac_coords": [[0.0000, 0.0000, 0.0000], [0.3392, 0.6608, 0.0000], [0.6608, 0.3392, 0.0000], [0.5000, 0.5000, 0.5000], [0.1678, 0.8322, 0.5000], [0.8322, 0.1678, 0.5000], [0.0746, 0.4243, 0.2743], [0.2249, 0.2249, 0.7245], [0.4243, 0.0746, 0.2743], [0.5757, 0.9254, 0.7257], [0.7751, 0.7751, 0.2755], [0.9254, 0.5757, 0.7257]], "spacegroup": "No. 12", "volume_a3_per_fu": 368, "e_tot_ev_per_fu": -54.91, "e_form_raw_mev_per_atom": -1227}

[14]
{"formula": "NaSmSc2Te4", "functional": "GGA-PBE", "state": "relaxed", "lattice": [[7.4475, 0.0000, 0.0000], [0.0000, 4.2570, 0.0000], [-2.4171, 0.0000, 7.1611]], "species": ["Na", "Sm", "Sc", "Sc", "Te", "Te", "Te", "Te"], "frac_coords": [[0.0000, 0.0000, 0.0000], [0.5000, 0.5000, 0.0000], [0.0000, 0.5000, 0.5000], [0.5000, 0.0000, 0.5000], [0.2411, 0.0000, 0.7310], [0.2563, 0.5000, 0.2702], [0.7437, 0.5000, 0.7298], [0.7589, 0.0000, 0.2690]], "spacegroup": "No. 10", "volume_a3_per_fu": 227, "e_tot_ev_per_fu": -41.02, "e_form_raw_mev_per_atom": -1219}

[15]
{"formula": "NaSmScTl", "functional": "GGA-PBE", "state": "relaxed", "lattice": [[7.5212, 0.0000, 0.0000], [0.0000, 7.5212, 0.0000], [0.0000, 0.0000, 7.5212]], "species": ["Na", "Na", "Na", "Na", "Sm", "Sm", "Sm", "Sm", "Sc", "Sc", "Sc", "Sc", "Tl", "Tl", "Tl", "Tl"], "frac_coords": [[0.0000, 0.0000, 0.0000], [0.0000, 0.5000, 0.5000], [0.5000, 0.0000, 0.5000], [0.5000, 0.5000, 0.0000], [0.2500, 0.2500, 0.7500], [0.2500, 0.7500, 0.2500], [0.7500, 0.2500, 0.2500], [0.7500, 0.7500, 0.7500], [0.2500, 0.2500, 0.2500], [0.2500, 0.7500, 0.7500], [0.7500, 0.2500, 0.7500], [0.7500, 0.7500, 0.2500], [0.0000, 0.0000, 0.5000], [0.0000, 0.5000, 0.0000], [0.5000, 0.0000, 0.0000], [0.5000, 0.5000, 0.5000]], "spacegroup": "No. 216", "delta_e_f_mev_per_atom": -29, "volume_a3_per_fu": 106, "e_tot_ev_per_fu": -14.85}

[16]
{"formula": "NaSc2Sn", "functional": "GGA-PBE", "state": "relaxed", "lattice": [[3.3124, 0.0000, 0.0000], [-1.6562, 2.8686, 0.0000], [0.0000, 0.0000, 34.1097]], "species": ["Na", "Na", "Na", "Sc", "Sc", "Sc", "Sc", "Sc", "Sc", "Sn", "Sn", "Sn"], "frac_coords": [[0.0000, 0.0000, 0.0000], [0.3333, 0.6667, 0.6667], [0.6667, 0.3333, 0.3333], [0.0000, 0.0000, 0.0956], [0.0000, 0.0000, 0.9044], [0.3333, 0.6667, 0.5710], [0.3333, 0.6667, 0.7623], [0.6667, 0.3333, 0.2377], [0.6667, 0.3333, 0.4290], [0.0000, 0.0000, 0.5000], [0.3333, 0.6667, 0.1667], [0.6667, 0.3333, 0.8333]], "spacegroup": "No. 166", "delta_e_f_mev_per_atom": 34, "volume_a3_per_fu": 108, "e_tot_ev_per_fu": -17.85}

[17]
{"formula": "Na2ScSn", "functional": "GGA-PBE", "state": "relaxed", "lattice": [[4.2628, 0.0000, 0.0000], [0.0000, 4.2628, 0.0000], [0.0000, 0.0000, 24.1248]], "species": ["Na", "Na", "Na", "Na", "Na", "Na", "Na", "Na", "Sc", "Sc", "Sc", "Sc", "Sn", "Sn", "Sn", "Sn"], "frac_coords": [[0.2343, 0.2500, 0.1250], [0.2500, 0.7343, 0.3750], [0.2500, 0.7657, 0.8750], [0.2657, 0.2500, 0.6250], [0.7343, 0.7500, 0.6250], [0.7500, 0.2343, 0.8750], [0.7500, 0.2657, 0.3750], [0.7657, 0.7500, 0.1250], [0.0000, 0.0000, 0.5000], [0.0000, 0.5000, 0.7500], [0.5000, 0.0000, 0.2500], [0.5000, 0.5000, 0.0000], [0.0000, 0.0000, 0.0000], [0.0000, 0.5000, 0.2500], [0.5000, 0.0000, 0.7500], [0.5000, 0.5000, 0.5000]], "spacegroup": "No. 122", "delta_e_f_mev_per_atom": -10, "volume_a3_per_fu": 110, "e_tot_ev_per_fu": -13.01}

[18]
{"formula": "NaSc3Sn", "functional": "GGA-PBE", "state": "relaxed", "lattice": [[5.5017, 0.0000, 0.0000], [0.0000, 5.5017, 0.0000], [0.0000, 0.0000, 5.5017]], "species": ["Na", "Sc", "Sc", "Sc", "Sn"], "frac_coords": [[0.0000, 0.0000, 0.0000], [0.0000, 0.5000, 0.5000], [0.5000, 0.0000, 0.5000], [0.5000, 0.5000, 0.0000], [0.5000, 0.5000, 0.5000]], "spacegroup": "No. 221", "delta_e_f_mev_per_atom": 348, "volume_a3_per_fu": 167, "e_tot_ev_per_fu": -22.57}

[19]
{"formula": "NaSc2Sn2", "functional": "GGA-PBE", "state": "relaxed", "lattice": [[8.7908, 0.0000, 0.0000], [0.0000, 8.7908, 0.0000], [0.0000, 0.0000, 3.2710]], "species": ["Na", "Na", "Sc", "Sc", "Sc", "Sc", "Sn", "Sn", "Sn", "Sn"], "frac_coords": [[0.0000, 0.0000, 0.0000], [0.5000, 0.5000, 0.0000], [0.1318, 0.3682, 0.5000], [0.3682, 0.8682, 0.5000], [0.6318, 0.1318, 0.5000], [0.8682, 0.6318, 0.5000], [0.1655, 0.6655, 0.0000], [0.3345, 0.1655, 0.0000], [0.6655, 0.8345, 0.0000], [0.8345, 0.3345, 0.0000]], "spacegroup": "No. 127", "delta_e_f_mev_per_atom": -438, "volume_a3_per_fu": 126, "e_tot_ev_per_fu": -24.18}

[20]
{"formula": "NaSc2Sn", "functional": "GGA-PBE", "state": "relaxed", "lattice": [[8.2017, 0.0000, 0.0000], [0.0000, 8.2017, 0.0000], [0.0000, 0.0000, 6.2933]], "species": ["Na", "Na", "Na", "Na", "Sc", "Sc", "Sc", "Sc", "Sc", "Sc", "Sc", "Sc", "Sn", "Sn", "Sn", "Sn"], "frac_coords": [[0.0000, 0.0000, 0.0000], [0.0000, 0.5000, 0.2500], [0.5000, 0.0000, 0.7500], [0.5000, 0.5000, 0.5000], [0.2291, 0.2500, 0.6250], [0.2500, 0.7291, 0.8750], [0.2500, 0.7709, 0.3750], [0.2709, 0.2500, 0.1250], [0.7291, 0.7500, 0.1250], [0.7500, 0.2291, 0.3750], [0.7500, 0.2709, 0.8750], [0.7709, 0.7500, 0.6250], [0.0000, 0.0000, 0.5000], [0.0000, 0.5000, 0.7500], [0.5000, 0.0000, 0.2500], [0.5000, 0.5000, 0.0000]], "spacegroup": "No. 122", "delta_e_f_mev_per_atom": 149, "volume_a3_per_fu": 106, "e_tot_ev_per_fu": -17.39}